## CaFeB2Ir (PBE)

Data for CaFeB2Ir after structural relaxation.

ΔE_f (meV per atom): -396
Symmetry: I-4m2

Structure (extended XYZ):
```
10
Lattice="3.805 0.000 0.000 0.000 3.805 0.000 0.000 0.000 9.915" Properties=species:S:1:pos:R:3 pbc="T T T"
Ca 0.000 0.000 0.000
Ca 1.903 1.903 4.957
Fe 0.000 1.903 7.436
Fe 1.903 0.000 2.479
B 0.000 0.000 3.260
B 0.000 0.000 6.655
B 1.903 1.903 1.698
B 1.903 1.903 8.217
Ir 0.000 1.903 2.479
Ir 1.903 0.000 7.436
```



## SiAs2Cl (PBE)

Data for SiAs2Cl after structural relaxation.

Relative energy among the computed polymorphs (kJ per mole of atoms): 20.33
ΔE_f (raw) (eV/atom): 0.16
Symmetry: Pm

Structure (extended XYZ):
```
4
Lattice="3.907 0.000 0.000 0.000 4.866 0.000 -1.915 0.000 4.774" Properties=species:S:1:pos:R:3 pbc="T T T"
Si 0.000 0.000 0.000
As 1.932 0.000 1.519
As 2.999 2.433 0.460
Cl -0.001 2.433 3.238
```